Entry w
A plane-wave DFT calculation with GGA-PBE was carried out for an optimized crystal structure of Pm2SmTc.

The structure in CIF format:
```
data_Pm2SmTc
_space_group_name_H-M_alt 'R -3 m'
_space_group_IT_number 166
_space_group_name_Hall '-R 3 2"'
_cell_length_a 4.8843
_cell_length_b 4.8843
_cell_length_c 15.5480
_cell_angle_alpha 90.00
_cell_angle_beta 90.00
_cell_angle_gamma 120.00
loop_
_atom_site_label
_atom_site_type_symbol
_atom_site_fract_x
_atom_site_fract_y
_atom_site_fract_z
Pm1 Pm 0.0000 0.0000 0.2308
Sm1 Sm 0.0000 0.0000 0.0000
Tc1 Tc 0.0000 0.0000 0.5000
```



Entry x
A plane-wave DFT calculation with GGA-PBE was carried out for an optimized crystal structure of Pm2SmTc.

The structure in CIF format:
```
data_Pm2SmTc
_space_group_name_H-M_alt 'P 4/m m m'
_space_group_IT_number 123
_space_group_name_Hall '-P 4 2'
_cell_length_a 3.5241
_cell_length_b 3.5241
_cell_length_c 9.0908
_cell_angle_alpha 90.00
_cell_angle_beta 90.00
_cell_angle_gamma 90.00
loop_
_atom_site_label
_atom_site_type_symbol
_atom_site_fract_x
_atom_site_fract_y
_atom_site_fract_z
Pm1 Pm 0.0000 0.0000 0.1875
Sm1 Sm 0.5000 0.5000 0.5000
Tc1 Tc 0.5000 0.5000 0.0000
```



Which is the most stable structure? entry x is the most stable.



Entry w
A plane-wave DFT calculation with GGA-PBE was carried out for an optimized crystal structure of PmSmTe.

The structure in CIF format:
```
data_PmSmTe
_space_group_name_H-M_alt 'C m c m'
_space_group_IT_number 63
_space_group_name_Hall '-C 2c 2'
_cell_length_a 4.0400
_cell_length_b 14.3392
_cell_length_c 6.3298
_cell_angle_alpha 90.00
_cell_angle_beta 90.00
_cell_angle_gamma 90.00
loop_
_atom_site_label
_atom_site_type_symbol
_atom_site_fract_x
_atom_site_fract_y
_atom_site_fract_z
Pm1 Pm 0.0000 0.0000 0.0000
Sm1 Sm 0.0000 0.3053 0.2500
Te1 Te 0.0000 0.3611 0.7500
```



Entry x
A plane-wave DFT calculation with GGA-PBE was carried out for an optimized crystal structure of PmSmTe.

The structure in CIF format:
```
data_PmSmTe
_space_group_name_H-M_alt 'I 4 m m'
_space_group_IT_number 107
_space_group_name_Hall 'I 4 -2'
_cell_length_a 3.9661
_cell_length_b 3.9661
_cell_length_c 11.8095
_cell_angle_alpha 90.00
_cell_angle_beta 90.00
_cell_angle_gamma 90.00
loop_
_atom_site_label
_atom_site_type_symbol
_atom_site_fract_x
_atom_site_fract_y
_atom_site_fract_z
Pm1 Pm 0.0000 0.0000 0.0000
Sm1 Sm 0.0000 0.0000 0.6942
Te1 Te 0.0000 0.0000 0.3451
```



Entry y
A plane-wave DFT calculation with GGA-PBE was carried out for an optimized crystal structure of PmSmTe.

The structure in CIF format:
```
data_PmSmTe
_space_group_name_H-M_alt 'P 3 m 1'
_space_group_IT_number 156
_cell_length_a 5.1618
_cell_length_b 5.1618
_cell_length_c 4.2908
_cell_angle_alpha 90.00
_cell_angle_beta 90.00
_cell_angle_gamma 120.00
loop_
_space_group_symop_operation_xyz
'x,y,z'
'-y,x-y,z'
'-x+y,-x,z'
'-y,-x,z'
'-x+y,y,z'
'x,x-y,z'
loop_
_atom_site_label
_atom_site_type_symbol
_atom_site_fract_x
_atom_site_fract_y
_atom_site_fract_z
Pm1 Pm 0.0000 0.0000 0.0000
Sm1 Sm 0.6667 0.3333 0.5101
Te1 Te 0.3333 0.6667 0.7472
```



Entry z
A plane-wave DFT calculation with GGA-PBE was carried out for an optimized crystal structure of PmSmTe.

The structure in CIF format:
```
data_PmSmTe
_space_group_name_H-M_alt 'P 1 21/m 1'
_space_group_IT_number 11
_cell_length_a 6.2815
_cell_length_b 4.0791
_cell_length_c 8.1033
_cell_angle_alpha 90.00
_cell_angle_beta 106.69
_cell_angle_gamma 90.00
loop_
_space_group_symop_operation_xyz
'x,y,z'
'-x,-y,-z'
'-x,y+1/2,-z'
'x,-y+1/2,z'
loop_
_atom_site_label
_atom_site_type_symbol
_atom_site_fract_x
_atom_site_fract_y
_atom_site_fract_z
Pm1 Pm 0.2232 0.2500 0.4505
Sm1 Sm 0.1739 0.2500 0.8910
Te1 Te 0.3643 0.7500 0.1977
```



Which is the most stable structure? entry w is the most stable.



Entry w
A plane-wave DFT calculation with GGA-PBE was carried out for an optimized crystal structure of PmSm2Te.

The structure in CIF format:
```
data_PmSm2Te
_space_group_name_H-M_alt 'P 4/m m m'
_space_group_IT_number 123
_space_group_name_Hall '-P 4 2'
_cell_length_a 5.5829
_cell_length_b 5.5829
_cell_length_c 3.8683
_cell_angle_alpha 90.00
_cell_angle_beta 90.00
_cell_angle_gamma 90.00
loop_
_atom_site_label
_atom_site_type_symbol
_atom_site_fract_x
_atom_site_fract_y
_atom_site_fract_z
Pm1 Pm 0.0000 0.0000 0.0000
Sm1 Sm 0.0000 0.5000 0.5000
Te1 Te 0.5000 0.5000 0.0000
```



Entry x
A plane-wave DFT calculation with GGA-PBE was carried out for an optimized crystal structure of PmSm2Te.

The structure in CIF format:
```
data_PmSm2Te
_space_group_name_H-M_alt 'C m c m'
_space_group_IT_number 63
_space_group_name_Hall '-C 2c 2'
_cell_length_a 4.0451
_cell_length_b 12.2696
_cell_length_c 10.1405
_cell_angle_alpha 90.00
_cell_angle_beta 90.00
_cell_angle_gamma 90.00
loop_
_atom_site_label
_atom_site_type_symbol
_atom_site_fract_x
_atom_site_fract_y
_atom_site_fract_z
Pm1 Pm 0.0000 0.0583 0.2500
Sm1 Sm 0.0000 0.3642 0.0361
Te1 Te 0.0000 0.2320 0.7500
```



Which is the most stable structure? entry x is the most stable.



Entry w
A plane-wave DFT calculation with GGA-PBE was carried out for an optimized crystal structure of PmSm3Te4.

The structure in CIF format:
```
data_PmSm3Te4
_space_group_name_H-M_alt 'P 63/m m c'
_space_group_IT_number 194
_space_group_name_Hall '-P 6c 2c'
_cell_length_a 4.3725
_cell_length_b 4.3725
_cell_length_c 30.1355
_cell_angle_alpha 90.00
_cell_angle_beta 90.00
_cell_angle_gamma 120.00
loop_
_atom_site_label
_atom_site_type_symbol
_atom_site_fract_x
_atom_site_fract_y
_atom_site_fract_z
Pm1 Pm 0.3333 0.6667 0.2500
Sm1 Sm 0.0000 0.0000 0.0000
Sm2 Sm 0.3333 0.6667 0.6235
Te1 Te 0.0000 0.0000 0.1857
Te2 Te 0.3333 0.6667 0.0620
```



Entry x
A plane-wave DFT calculation with GGA-PBE was carried out for an optimized crystal structure of PmSm3Te4.

The structure in CIF format:
```
data_PmSm3Te4
_space_group_name_H-M_alt 'C m m m'
_space_group_IT_number 65
_space_group_name_Hall '-C 2 2'
_cell_length_a 8.9823
_cell_length_b 12.5863
_cell_length_c 4.4078
_cell_angle_alpha 90.00
_cell_angle_beta 90.00
_cell_angle_gamma 90.00
loop_
_atom_site_label
_atom_site_type_symbol
_atom_site_fract_x
_atom_site_fract_y
_atom_site_fract_z
Pm1 Pm 0.0000 0.0000 0.0000
Sm1 Sm 0.0000 0.5000 0.0000
Sm2 Sm 0.2500 0.2500 0.5000
Te1 Te 0.0000 0.2506 0.0000
Te2 Te 0.2488 0.5000 0.5000
```



Which is the most stable structure? entry x is the most stable.



Entry w
A plane-wave DFT calculation with GGA-PBE was carried out for an optimized crystal structure of PmSmTe3.

The structure in CIF format:
```
data_PmSmTe3
_space_group_name_H-M_alt 'C 1 2/m 1'
_space_group_IT_number 12
_cell_length_a 18.3997
_cell_length_b 4.6514
_cell_length_c 9.6024
_cell_angle_alpha 90.00
_cell_angle_beta 118.20
_cell_angle_gamma 90.00
loop_
_space_group_symop_operation_xyz
'x,y,z'
'-x,-y,-z'
'-x,y,-z'
'x,-y,z'
'x+1/2,y+1/2,z'
'-x+1/2,-y+1/2,-z'
'-x+1/2,y+1/2,-z'
'x+1/2,-y+1/2,z'
loop_
_atom_site_label
_atom_site_type_symbol
_atom_site_fract_x
_atom_site_fract_y
_atom_site_fract_z
Pm1 Pm 0.1514 0.0000 0.2556
Sm1 Sm 0.1295 0.5000 0.7846
Te1 Te 0.0435 0.0000 0.8606
Te2 Te 0.1457 0.5000 0.4744
Te3 Te 0.2364 0.5000 0.1516
```



Entry x
A plane-wave DFT calculation with GGA-PBE was carried out for an optimized crystal structure of PmSmTe3.

The structure in CIF format:
```
data_PmSmTe3
_space_group_name_H-M_alt 'P n m a'
_space_group_IT_number 62
_cell_length_a 8.2782
_cell_length_b 11.3855
_cell_length_c 7.4335
_cell_angle_alpha 90.00
_cell_angle_beta 90.00
_cell_angle_gamma 90.00
loop_
_space_group_symop_operation_xyz
'x,y,z'
'-x,-y,-z'
'-x+1/2,-y,z+1/2'
'x+1/2,y,-z+1/2'
'x+1/2,-y+1/2,-z+1/2'
'-x+1/2,y+1/2,z+1/2'
'-x,y+1/2,-z'
'x,-y+1/2,z'
loop_
_atom_site_label
_atom_site_type_symbol
_atom_site_fract_x
_atom_site_fract_y
_atom_site_fract_z
Pm1 Pm 0.1204 0.2500 0.0532
Sm1 Sm 0.0000 0.0000 0.5000
Te1 Te 0.0549 0.7500 0.3330
Te2 Te 0.1753 0.5821 0.8399
```



Which is the most stable structure? entry x is the most stable.



Entry w
A plane-wave DFT calculation with GGA-PBE was carried out for an optimized crystal structure of Pm2SmTe.

The structure in CIF format:
```
data_Pm2SmTe
_space_group_name_H-M_alt 'P 4/m m m'
_space_group_IT_number 123
_space_group_name_Hall '-P 4 2'
_cell_length_a 4.8972
_cell_length_b 4.8972
_cell_length_c 4.8565
_cell_angle_alpha 90.00
_cell_angle_beta 90.00
_cell_angle_gamma 90.00
loop_
_atom_site_label
_atom_site_type_symbol
_atom_site_fract_x
_atom_site_fract_y
_atom_site_fract_z
Pm1 Pm 0.0000 0.5000 0.0000
Sm1 Sm 0.0000 0.0000 0.5000
Te1 Te 0.5000 0.5000 0.5000
```



Entry x
A plane-wave DFT calculation with GGA-PBE was carried out for an optimized crystal structure of Pm2SmTe.

The structure in CIF format:
```
data_Pm2SmTe
_space_group_name_H-M_alt 'R 3 m'
_space_group_IT_number 160
_space_group_name_Hall 'R 3 -2"'
_cell_length_a 3.9995
_cell_length_b 3.9995
_cell_length_c 29.7348
_cell_angle_alpha 90.00
_cell_angle_beta 90.00
_cell_angle_gamma 120.00
loop_
_atom_site_label
_atom_site_type_symbol
_atom_site_fract_x
_atom_site_fract_y
_atom_site_fract_z
Pm1 Pm 0.0000 0.0000 0.0000
Pm2 Pm 0.0000 0.0000 0.1905
Sm1 Sm 0.0000 0.0000 0.4282
Te1 Te 0.0000 0.0000 0.5953
```



Which is the most stable structure? entry x is the most stable.